# CeMgH8Ir2

An optimized crystal structure of CeMgH8Ir2 (PBE, Alexandria via LeMat-Bulk).

## Properties
As for the volume: 8.72 A^3/atom. The total magnetization comes out at 0.72 μB per cell. The value obtained for the total energy is -4.57 eV per atom.

Cell: 4.698 4.698 6.110 Å, 67.39 67.39 60.00°
Last column: magnetic moment on the atom in μB.
Element x y z (fractional)
Ce 0.500 0.500 0.500  0.79
Mg 0.000 0.000 0.000  0.00
H 0.056 0.056 0.278  0.00
H 0.609 0.056 0.278  0.00
H 0.817 0.817 0.548  0.00
H 0.944 0.391 0.722  0.00
H 0.944 0.944 0.722  0.00
H 0.183 0.183 0.452  0.00
H 0.056 0.609 0.278  0.00
Ir 0.283 0.283 0.150  -0.03
H 0.391 0.944 0.722  0.00
Ir 0.717 0.717 0.850  -0.03